(1)
{
  "formula": "ZnSnMo",
  "functional": "GGA-PBE",
  "state": "optimized geometry",
  "cell": [[-4.5717, -0.8478, -2.4893], [-0.5793, -5.1237, 2.8088], [-3.3598, 3.5123, 4.9742]],
  "species": ["Zn", "Sn", "Sn", "Sn", "Zn", "Mo", "Zn", "Sn", "Zn", "Mo", "Mo", "Mo"],
  "frac_coords": [[0.0756, 0.0685, 0.3380], [0.6334, 0.6022, 0.8340], [0.3666, 0.3978, 0.1660], [0.8666, 0.6022, 0.3340], [0.4244, 0.0685, 0.8380], [0.5860, 0.2046, 0.4951], [0.5756, 0.9315, 0.1620], [0.1334, 0.3978, 0.6660], [0.9244, 0.9315, 0.6620], [0.9140, 0.2046, 0.9951], [0.4140, 0.7954, 0.5049], [0.0860, 0.7954, 0.0049]],
  "magnetic_moment_mub_per_fu": 0.000,
  "ef_ev_per_fu": 0.65
}

---

(2)
{
  "formula": "Zn2SnMo2",
  "functional": "GGA-PBE",
  "state": "optimized geometry",
  "cell": [[-1.1138, 6.7729, 1.3252], [-6.7469, -0.7864, -1.6519], [-0.7523, -0.7994, 3.4533]],
  "species": ["Zn", "Mo", "Zn", "Sn", "Mo", "Mo", "Zn", "Sn", "Mo", "Zn"],
  "frac_coords": [[0.3291, 0.1709, 0.5000], [0.3782, 0.8782, 0.0000], [0.1709, 0.6709, 0.5000], [0.5000, 0.5000, 0.0000], [0.8782, 0.6218, 0.0000], [0.1218, 0.3782, 0.0000], [0.6709, 0.8291, 0.5000], [0.0000, 0.0000, 0.0000], [0.6218, 0.1218, 0.0000], [0.8291, 0.3291, 0.5000]],
  "magnetic_moment_mub_per_fu": 0.000,
  "ef_ev_per_fu": 1.30
}

---

(3)
{
  "formula": "ZnSn2Mo",
  "functional": "GGA-PBE",
  "state": "optimized geometry",
  "cell": [[7.6819, 0.0000, 0.0000], [0.0000, 7.6819, 0.0000], [3.8409, 3.8409, 2.9175]],
  "species": ["Zn", "Sn", "Sn", "Sn", "Sn", "Mo", "Mo", "Zn"],
  "frac_coords": [[0.5000, 0.5000, 0.0000], [0.6209, 0.1250, 0.2500], [0.8750, 0.8709, 0.7500], [0.3750, 0.3791, 0.7500], [0.1291, 0.6250, 0.2500], [0.0000, 0.0000, 0.0000], [0.7500, 0.2500, 0.5000], [0.2500, 0.7500, 0.5000]],
  "magnetic_moment_mub_per_fu": 1.835,
  "ef_ev_per_fu": 2.60
}

---

(4)
{
  "formula": "Zn2SnMo",
  "functional": "GGA-PBE",
  "state": "optimized geometry",
  "cell": [[7.3942, 0.0000, 0.0000], [0.0000, 7.3942, 0.0000], [3.6971, 3.6971, 2.7091]],
  "species": ["Zn", "Zn", "Mo", "Sn", "Mo", "Zn", "Sn", "Zn"],
  "frac_coords": [[0.6101, 0.1250, 0.2500], [0.1399, 0.6250, 0.2500], [0.5000, 0.5000, 0.0000], [0.7500, 0.2500, 0.5000], [0.2500, 0.7500, 0.5000], [0.8750, 0.8601, 0.7500], [0.0000, 0.0000, 0.0000], [0.3750, 0.3899, 0.7500]],
  "magnetic_moment_mub_per_fu": 0.000,
  "ef_ev_per_fu": 1.86
}

---

(5)
{
  "formula": "ZnSnMo3",
  "functional": "GGA-PBE",
  "state": "optimized geometry",
  "cell": [[-2.5557, 2.7923, -2.6049], [-2.8574, 0.6810, 3.5335], [2.5333, 3.5852, 1.3577]],
  "species": ["Zn", "Mo", "Mo", "Sn", "Mo"],
  "frac_coords": [[0.0000, 0.0000, 0.0000], [0.0000, 0.0000, 0.5000], [0.0000, 0.5000, 0.0000], [0.5000, 0.5000, 0.5000], [0.5000, 0.0000, 0.0000]],
  "de_polymorph_mev_per_atom": 0.0,
  "magnetic_moment_mub_per_fu": 0.000,
  "ef_ev_per_fu": 7.05
}

---

(6)
{
  "formula": "ZnSn3Mo",
  "functional": "GGA-PBE",
  "state": "optimized geometry",
  "cell": [[-1.9894, -4.1554, -2.5529], [4.7373, -0.9913, -2.0779], [1.1588, -3.0809, 4.1118]],
  "species": ["Zn", "Sn", "Sn", "Sn", "Mo"],
  "frac_coords": [[0.5000, 0.5000, 0.5000], [0.0000, 0.0000, 0.5000], [0.0000, 0.5000, 0.0000], [0.5000, 0.0000, 0.0000], [0.0000, 0.0000, 0.0000]],
  "de_polymorph_mev_per_atom": 0.0,
  "magnetic_moment_mub_per_fu": 0.000,
  "ef_ev_per_fu": 1.63
}

---

(7)
{
  "formula": "Zn3SnMo",
  "functional": "GGA-PBE",
  "state": "optimized geometry",
  "cell": [[-1.9712, -1.7373, 4.1467], [4.4916, -0.5619, 1.8998], [-0.1977, 4.5569, 1.8152]],
  "species": ["Zn", "Sn", "Zn", "Mo", "Zn"],
  "frac_coords": [[0.0000, 0.5000, 0.0000], [0.5000, 0.5000, 0.5000], [0.5000, 0.0000, 0.0000], [0.0000, 0.0000, 0.0000], [0.0000, 0.0000, 0.5000]],
  "de_polymorph_mev_per_atom": 0.0,
  "magnetic_moment_mub_per_fu": 0.000,
  "ef_ev_per_fu": 4.25
}

---

(8)
{
  "formula": "ZnSn3Mo",
  "functional": "GGA-PBE",
  "state": "optimized geometry",
  "cell": [[-4.5903, 2.2735, 0.5329], [-1.1263, -1.1261, -4.8976], [-2.0456, -4.4818, 1.5009]],
  "species": ["Sn", "Mo", "Sn", "Sn", "Zn"],
  "frac_coords": [[0.5000, 0.0000, 0.0000], [0.5000, 0.5000, 0.5000], [0.0000, 0.0000, 0.5000], [0.0000, 0.5000, 0.0000], [0.0000, 0.0000, 0.0000]],
  "de_polymorph_mev_per_atom": 709.0,
  "magnetic_moment_mub_per_fu": 3.901,
  "ef_ev_per_fu": 5.17
}

---

What is the formula in the eighth record?
ZnSn3Mo